Run P
Entry from the Alexandria database: crystalline KTe3P at its relaxed geometry (PBE).

For the volume, the calculation gives 31.847 Å³/atom. As for the density of states at the Fermi level: 4.21 states/eV per cell. For the total magnetization, the calculation gives 0.0 μB per cell.

It has space group Pm-3m (No. 221), with a = 5.420 Å, b = 5.420 Å, c = 5.420 Å, α = 90.00°, β = 90.00° and γ = 90.00°. Symmetry generates all atoms from K at (0.000, 0.000, 0.000), Te at (0.000, 0.500, 0.500) and P at (0.500, 0.500, 0.500).

Run Q
Entry from the Alexandria database: crystalline KTe3P at its relaxed geometry (PBE).

For the volume, the calculation gives 41.816 Å³/atom. As for the density of states at the Fermi level: 9.19 states/eV per cell. For the total magnetization, the calculation gives 0.0 μB per cell.

It has space group Pm-3m (No. 221), with a = 5.935 Å, b = 5.935 Å, c = 5.935 Å, α = 90.00°, β = 90.00° and γ = 90.00°. Symmetry generates all atoms from K at (0.000, 0.000, 0.000), Te at (0.000, 0.000, 0.500) and P at (0.500, 0.500, 0.500).

run P has the most favorable energy; the next structure is 1524 meV/atom above.

Run P
Entry from the Alexandria database: crystalline KTiP2 at its relaxed geometry (PBE).

For the volume, the calculation gives 30.137 Å³/atom. As for the density of states at the Fermi level: 5.76 states/eV per cell. For the total magnetization, the calculation gives 0.0 μB per cell.

It has space group I-42d (No. 122), with a = 5.735 Å, b = 5.735 Å, c = 14.660 Å, α = 90.00°, β = 90.00° and γ = 90.00°. Symmetry generates all atoms from K at (0.000, 0.000, 0.000), Ti at (0.000, 0.000, 0.500) and P at (0.001, 0.250, 0.625).

Run Q
Entry from the Alexandria database: crystalline KTiP2 at its relaxed geometry (PBE).

For the volume, the calculation gives 18.820 Å³/atom. As for the density of states at the Fermi level: 6.07 states/eV per cell. For the total magnetization, the calculation gives 0.0 μB per cell.

It has space group Fm-3m (No. 225), with a = 6.703 Å, b = 6.703 Å, c = 6.703 Å, α = 90.00°, β = 90.00° and γ = 90.00°. Symmetry generates all atoms from K at (0.000, 0.000, 0.000), Ti at (0.000, 0.000, 0.500) and P at (0.250, 0.250, 0.250).

run P has the most favorable energy; the next structure is 564 meV/atom above.

Run P
Entry from the Alexandria database: crystalline KTl2P2 at its relaxed geometry (PBE).

For the volume, the calculation gives 27.445 Å³/atom. As for the density of states at the Fermi level: 5.75 states/eV per cell. For the total magnetization, the calculation gives 0.0 μB per cell.

It has space group I4/mmm (No. 139), with a = 5.088 Å, b = 5.088 Å, c = 10.601 Å, α = 90.00°, β = 90.00° and γ = 90.00°. Symmetry generates all atoms from K at (0.000, 0.000, 0.000), Tl at (0.000, 0.000, 0.360) and P at (0.000, 0.500, 0.250).

Run Q
Entry from the Alexandria database: crystalline KTl2P2 at its relaxed geometry (PBE).

For the volume, the calculation gives 30.341 Å³/atom. As for the density of states at the Fermi level: 5.07 states/eV per cell. For the total magnetization, the calculation gives 0.0 μB per cell.

It has space group P4/mbm (No. 127), with a = 8.390 Å, b = 8.390 Å, c = 4.310 Å, α = 90.00°, β = 90.00° and γ = 90.00°. Symmetry generates all atoms from K at (0.000, 0.000, 0.000), Tl at (0.163, 0.337, 0.500) and P at (0.090, 0.590, 0.000).

run Q has the most favorable energy; the next structure is 162 meV/atom above.

Run P
Entry from the Alexandria database: crystalline KTl2P at its relaxed geometry (PBE).

For the volume, the calculation gives 34.276 Å³/atom. As for the density of states at the Fermi level: 0.18 states/eV per cell. For the total magnetization, the calculation gives 0.0 μB per cell.

It has space group Cm (No. 8), with a = 9.702 Å, b = 4.186 Å, c = 7.150 Å, α = 90.00°, β = 109.21° and γ = 90.00°. Symmetry generates all atoms from K at (0.000, 0.000, 0.000), Tl at (0.079, 0.500, 0.579), Tl at (0.294, 0.500, 0.355) and P at (0.323, 0.000, 0.663).

Run Q
Entry from the Alexandria database: crystalline KTl2P at its relaxed geometry (PBE).

For the volume, the calculation gives 32.753 Å³/atom. As for the density of states at the Fermi level: 1.68 states/eV per cell. For the total magnetization, the calculation gives 0.0 μB per cell.

It has space group R-3m (No. 166, hexagonal axes), with a = 4.3718 Å, b = 4.3718 Å, c = 23.7457 Å, α = 90.00°, β = 90.00° and γ = 120.00°. Symmetry generates all atoms from K at (0.0000, 0.0000, 0.0000), Tl at (0.0000, 0.0000, 0.2259) and P at (0.0000, 0.0000, 0.5000).

Run R
Entry from the Alexandria database: crystalline KTl2P at its relaxed geometry (PBE).

For the volume, the calculation gives 28.748 Å³/atom. As for the density of states at the Fermi level: 1.09 states/eV per cell. For the total magnetization, the calculation gives 0.0 μB per cell.

It has space group P4/mmm (No. 123), with a = 3.785 Å, b = 3.785 Å, c = 8.025 Å, α = 90.00°, β = 90.00° and γ = 90.00°. Symmetry generates all atoms from K at (0.000, 0.000, 0.000), Tl at (0.500, 0.500, 0.307) and P at (0.000, 0.000, 0.500).

run Q has the most favorable energy; the next structure is 37 meV/atom above.

Run P
Entry from the Alexandria database: crystalline KTl2P at its relaxed geometry (PBE).

For the volume, the calculation gives 33.607 Å³/atom. As for the density of states at the Fermi level: 2.30 states/eV per cell. For the total magnetization, the calculation gives 0.0 μB per cell.

It has space group Cmmm (No. 65), with a = 6.445 Å, b = 10.038 Å, c = 4.156 Å, α = 90.00°, β = 90.00° and γ = 90.00°. Symmetry generates all atoms from K at (0.000, 0.000, 0.000), Tl at (0.000, 0.315, 0.500) and P at (0.000, 0.500, 0.000).

Run Q
Entry from the Alexandria database: crystalline KTl2P at its relaxed geometry (PBE).

For the volume, the calculation gives 28.666 Å³/atom. As for the density of states at the Fermi level: 4.13 states/eV per cell. For the total magnetization, the calculation gives 0.0 μB per cell.

It has space group Cmmm (No. 65), with a = 6.402 Å, b = 10.897 Å, c = 3.287 Å, α = 90.00°, β = 90.00° and γ = 90.00°. Symmetry generates all atoms from K at (0.000, 0.000, 0.000), Tl at (0.250, 0.250, 0.500) and P at (0.000, 0.500, 0.000).

Run R
Entry from the Alexandria database: crystalline KTl2P at its relaxed geometry (PBE).

For the volume, the calculation gives 28.679 Å³/atom. As for the density of states at the Fermi level: 0.58 states/eV per cell. For the total magnetization, the calculation gives 0.0 μB per cell.

It has space group Fm-3m (No. 225), with a = 7.713 Å, b = 7.713 Å, c = 7.713 Å, α = 90.00°, β = 90.00° and γ = 90.00°. Symmetry generates all atoms from K at (0.000, 0.000, 0.000), Tl at (0.250, 0.250, 0.250) and P at (0.000, 0.000, 0.500).

run P has the most favorable energy; the next structure is 173 meV/atom above.

Run P
Entry from the Alexandria database: crystalline KTl2P at its relaxed geometry (PBE).

For the volume, the calculation gives 29.891 Å³/atom. As for the density of states at the Fermi level: 1.46 states/eV per cell. For the total magnetization, the calculation gives 0.0 μB per cell.

It has space group P4mm (No. 99), with a = 3.954 Å, b = 3.954 Å, c = 7.647 Å, α = 90.00°, β = 90.00° and γ = 90.00°. Symmetry generates all atoms from K at (0.000, 0.000, 0.000), Tl at (0.000, 0.000, 0.434), Tl at (0.500, 0.500, 0.666) and P at (0.500, 0.500, 0.293).

Run Q
Entry from the Alexandria database: crystalline KTl2P at its relaxed geometry (PBE).

For the volume, the calculation gives 31.741 Å³/atom. As for the density of states at the Fermi level: 0.05 states/eV per cell. For the total magnetization, the calculation gives 0.0 μB per cell.

It has space group I-42d (No. 122), with a = 8.888 Å, b = 8.888 Å, c = 6.429 Å, α = 90.00°, β = 90.00° and γ = 90.00°. Symmetry generates all atoms from K at (0.000, 0.000, 0.000), Tl at (0.177, 0.250, 0.625) and P at (0.000, 0.000, 0.500).

run Q has the most favorable energy; the next structure is 63 meV/atom above.